First-principles (GGA+U) data for an optimized crystal structure of Sr2CrSe2O2, as listed in Alexandria.

Its total magnetization is 2.0 μB per formula unit. The value obtained for the density of states at the Fermi level is 0.045 states/eV/atom. For the total energy, the calculation gives -5.771 eV/atom.

The structure belongs to space group C2/m (No. 12); the cell edges are 11.8734, 3.9355 and 7.1010 Å and the angles 90.00°, 120.15° and 90.00°. Symmetry generates all atoms from Sr at (0.1964, 0.0000, 0.2417), Cr at (0.0000, 0.0000, 0.5000), Se at (0.0458, 0.5000, 0.7897) and O at (0.1733, 0.0000, 0.5738).